CuGeSbCl2, optimized geometry, DFT GGA-PBEsol; formation energy without anion corrections = 0.423 eV/atom; calculated volume = 26.92 A^3/atom; DOS(E_F) = 0.73 states/eV/atom; E = -3.1466 eV/atom
1.0
4.851 0.000 0.000
0.000 5.268 0.000
0.000 0.000 5.268
Cu Ge Cl Sb
1 1 2 1
Direct
0.500 0.000 0.000 Cu
0.500 0.500 0.500 Ge
0.000 0.000 0.500 Cl
0.000 0.500 0.000 Cl
0.000 0.000 0.000 Sb


LiCuH4Cl3O2, optimized geometry, DFT GGA-PBEsol; calculated volume = 12.67 A^3/atom; DOS(E_F) = 0.00 states/eV/atom; E = -4.3206 eV/atom
1.0
6.044 -0.098 0.000
-2.891 8.564 0.000
0.000 0.000 10.835
H O Cl Li Cu
16 8 12 4 4
Direct
0.820 0.069 0.392 H
0.396 0.938 0.692 H
0.885 0.096 0.643 H
0.115 0.904 0.357 H
0.820 0.569 0.108 H
0.396 0.438 0.808 H
0.115 0.404 0.143 H
0.160 0.764 0.287 H
0.840 0.236 0.713 H
0.180 0.931 0.608 H
0.604 0.062 0.308 H
0.160 0.264 0.213 H
0.840 0.736 0.787 H
0.604 0.562 0.192 H
0.180 0.431 0.892 H
0.885 0.596 0.857 H
0.152 0.308 0.130 O
0.354 0.962 0.607 O
0.848 0.192 0.630 O
0.354 0.462 0.893 O
0.152 0.808 0.370 O
0.646 0.038 0.393 O
0.646 0.538 0.107 O
0.848 0.692 0.870 O
0.113 0.583 0.619 Cl
0.887 0.917 0.119 Cl
0.113 0.083 0.881 Cl
0.810 0.823 0.608 Cl
0.461 0.377 0.630 Cl
0.539 0.623 0.370 Cl
0.539 0.123 0.130 Cl
0.461 0.877 0.870 Cl
0.810 0.323 0.892 Cl
0.887 0.417 0.381 Cl
0.190 0.177 0.392 Cl
0.190 0.677 0.108 Cl
0.443 0.340 0.030 Li
0.443 0.840 0.470 Li
0.557 0.660 0.970 Li
0.557 0.160 0.530 Li
0.159 0.379 0.511 Cu
0.841 0.121 0.011 Cu
0.159 0.879 0.989 Cu
0.841 0.621 0.489 Cu


CuH12N2Cl4O2, optimized geometry, DFT GGA-PBEsol; relative energy among the computed polymorphs = 0.0000 eV per atom; calculated volume = 10.45 A^3/atom; E = -4.5331 eV/atom
1.0
7.504 -0.087 -0.022
0.087 7.560 -0.033
0.025 0.035 7.739
H N Cl O Cu
24 4 8 4 2
Direct
0.921 0.085 0.317 H
0.571 0.585 0.818 H
0.915 0.579 0.669 H
0.440 0.089 0.166 H
0.942 0.423 0.826 H
0.076 0.606 0.170 H
0.582 0.912 0.822 H
0.571 0.584 0.175 H
0.099 0.446 0.325 H
0.077 0.936 0.675 H
0.425 0.426 0.176 H
0.076 0.606 0.822 H
0.582 0.912 0.170 H
0.598 0.074 0.324 H
0.921 0.085 0.676 H
0.420 0.932 0.324 H
0.439 0.089 0.826 H
0.099 0.446 0.668 H
0.419 0.933 0.668 H
0.425 0.426 0.817 H
0.077 0.935 0.318 H
0.942 0.423 0.167 H
0.597 0.074 0.668 H
0.914 0.579 0.323 H
0.510 0.002 0.246 N
0.008 0.514 0.246 N
0.008 0.514 0.746 N
0.510 0.002 0.746 N
0.229 0.809 0.496 Cl
0.804 0.236 0.997 Cl
0.774 0.223 0.496 Cl
0.279 0.301 0.496 Cl
0.207 0.793 0.997 Cl
0.723 0.704 0.497 Cl
0.712 0.725 0.996 Cl
0.299 0.270 0.997 Cl
0.985 0.996 0.749 O
0.483 0.519 0.248 O
0.482 0.520 0.745 O
0.984 0.995 0.245 O
0.001 0.011 0.997 Cu
0.499 0.505 0.497 Cu


CuH12N2Cl4O2, optimized geometry, DFT GGA-PBEsol; relative energy among the computed polymorphs = 0.0078 eV per atom; calculated volume = 10.47 A^3/atom; E = -4.5254 eV/atom
1.0
7.506 0.000 0.000
0.000 7.506 0.000
0.000 0.000 7.803
H Cl O N Cu
24 8 4 4 2
Direct
0.423 0.577 0.321 H
0.083 0.577 0.673 H
0.417 0.077 0.173 H
0.083 0.577 0.327 H
0.923 0.583 0.827 H
0.923 0.583 0.173 H
0.917 0.423 0.673 H
0.417 0.077 0.827 H
0.583 0.923 0.827 H
0.583 0.923 0.173 H
0.423 0.917 0.673 H
0.923 0.923 0.179 H
0.077 0.077 0.179 H
0.077 0.417 0.173 H
0.577 0.423 0.679 H
0.917 0.423 0.327 H
0.577 0.423 0.321 H
0.577 0.083 0.327 H
0.923 0.923 0.821 H
0.577 0.083 0.673 H
0.077 0.417 0.827 H
0.077 0.077 0.821 H
0.423 0.917 0.327 H
0.423 0.577 0.679 H
0.711 0.289 0.000 Cl
0.280 0.720 0.500 Cl
0.220 0.220 0.000 Cl
0.720 0.280 0.500 Cl
0.211 0.211 0.500 Cl
0.289 0.711 0.000 Cl
0.789 0.789 0.500 Cl
0.780 0.780 0.000 Cl
0.500 0.500 0.247 O
0.000 0.000 0.747 O
0.500 0.500 0.753 O
0.000 0.000 0.253 O
0.000 0.500 0.750 N
0.500 0.000 0.750 N
0.000 0.500 0.250 N
0.500 0.000 0.250 N
0.000 0.000 0.500 Cu
0.500 0.500 0.000 Cu


CuH6Se2NClO6, optimized geometry, DFT GGA-PBEsol; calculated volume = 11.25 A^3/atom; DOS(E_F) = 0.01 states/eV/atom; E = -5.1008 eV/atom
1.0
7.229 0.000 0.000
0.000 8.840 0.000
0.000 0.000 11.965
O Cl H N Cu Se
24 4 24 4 4 8
Direct
0.446 0.290 0.032 O
0.040 0.394 0.365 O
0.762 0.461 0.500 O
0.738 0.961 0.500 O
0.262 0.039 0.000 O
0.446 0.290 0.468 O
0.762 0.461 0.000 O
0.540 0.106 0.865 O
0.946 0.210 0.532 O
0.738 0.961 0.000 O
0.262 0.039 0.500 O
0.460 0.894 0.365 O
0.040 0.394 0.135 O
0.460 0.894 0.135 O
0.554 0.710 0.532 O
0.960 0.606 0.635 O
0.554 0.710 0.968 O
0.238 0.539 0.000 O
0.946 0.210 0.968 O
0.960 0.606 0.865 O
0.054 0.790 0.468 O
0.238 0.539 0.500 O
0.054 0.790 0.032 O
0.540 0.106 0.635 O
0.559 0.537 0.250 Cl
0.441 0.463 0.750 Cl
0.941 0.037 0.250 Cl
0.059 0.963 0.750 Cl
0.884 0.549 0.573 H
0.922 0.426 0.750 H
0.879 0.265 0.678 H
0.621 0.765 0.678 H
0.384 0.951 0.427 H
0.379 0.235 0.178 H
0.206 0.146 0.250 H
0.384 0.951 0.073 H
0.121 0.735 0.322 H
0.379 0.235 0.322 H
0.116 0.451 0.073 H
0.616 0.049 0.573 H
0.879 0.265 0.822 H
0.422 0.074 0.250 H
0.578 0.926 0.750 H
0.794 0.854 0.750 H
0.294 0.646 0.250 H
0.706 0.354 0.750 H
0.121 0.735 0.178 H
0.116 0.451 0.427 H
0.884 0.549 0.927 H
0.078 0.574 0.250 H
0.616 0.049 0.927 H
0.621 0.765 0.822 H
0.652 0.826 0.750 N
0.348 0.174 0.250 N
0.848 0.326 0.750 N
0.152 0.674 0.250 N
0.500 0.500 0.000 Cu
0.000 0.000 0.500 Cu
0.500 0.500 0.500 Cu
0.000 0.000 0.000 Cu
0.656 0.808 0.423 Se
0.344 0.192 0.577 Se
0.344 0.192 0.923 Se
0.844 0.308 0.077 Se
0.156 0.692 0.577 Se
0.156 0.692 0.923 Se
0.844 0.308 0.423 Se
0.656 0.808 0.077 Se


Cu3NiH6Cl2O6, optimized geometry, DFT GGA-PBEsol; calculated volume = 10.13 A^3/atom; DOS(E_F) = 0.25 states/eV/atom; E = -4.9454 eV/atom
1.0
-5.045 -0.370 -3.114
-4.565 -0.250 3.793
-2.690 5.295 0.095
H O Cu Cl Ni
6 6 3 2 1
Direct
0.229 0.823 0.229 H
0.771 0.771 0.177 H
0.771 0.177 0.771 H
0.823 0.229 0.229 H
0.229 0.229 0.823 H
0.177 0.771 0.771 H
0.639 0.273 0.273 O
0.273 0.273 0.639 O
0.273 0.639 0.273 O
0.727 0.727 0.361 O
0.361 0.727 0.727 O
0.727 0.361 0.727 O
0.500 0.000 0.500 Cu
0.000 0.500 0.500 Cu
0.500 0.500 0.000 Cu
0.822 0.822 0.822 Cl
0.178 0.178 0.178 Cl
0.500 0.500 0.500 Ni


CuH4Cl2O2, optimized geometry, DFT GGA-PBEsol; calculated volume = 11.88 A^3/atom; E = -4.3977 eV/atom
1.0
3.762 0.000 0.000
0.000 7.274 0.000
0.000 0.000 7.815
O Cu H Cl
4 2 8 4
Direct
0.000 0.500 0.256 O
0.000 0.500 0.744 O
0.000 0.000 0.756 O
0.000 0.000 0.244 O
0.000 0.000 0.000 Cu
0.000 0.500 0.500 Cu
0.134 0.089 0.317 H
0.866 0.911 0.317 H
0.134 0.089 0.683 H
0.866 0.589 0.817 H
0.866 0.911 0.683 H
0.134 0.411 0.183 H
0.134 0.411 0.817 H
0.866 0.589 0.183 H
0.631 0.753 0.000 Cl
0.369 0.247 0.000 Cl
0.631 0.747 0.500 Cl
0.369 0.253 0.500 Cl


CuHClO, optimized geometry, DFT GGA-PBEsol; calculated volume = 12.18 A^3/atom; DOS(E_F) = 0.31 states/eV/atom; E = -4.4187 eV/atom
1.0
5.512 -0.214 0.000
-2.614 5.435 0.000
0.000 0.000 6.629
H Cu Cl O
4 4 4 4
Direct
0.435 0.695 0.845 H
0.935 0.695 0.655 H
0.565 0.305 0.155 H
0.065 0.305 0.345 H
0.773 0.026 0.618 Cu
0.273 0.026 0.882 Cu
0.227 0.974 0.382 Cu
0.727 0.974 0.118 Cu
0.865 0.680 0.086 Cl
0.365 0.680 0.414 Cl
0.635 0.320 0.586 Cl
0.135 0.320 0.914 Cl
0.536 0.883 0.856 O
0.464 0.117 0.144 O
0.036 0.883 0.644 O
0.964 0.117 0.356 O


Rb2CuH4Cl4O2, optimized geometry, DFT GGA-PBEsol; calculated volume = 17.26 A^3/atom; E = -4.1245 eV/atom
1.0
7.539 0.000 0.000
0.000 7.539 0.000
0.000 0.000 7.896
H Cl Rb Cu O
8 8 4 2 4
Direct
0.576 0.424 0.180 H
0.424 0.576 0.180 H
0.076 0.076 0.320 H
0.924 0.924 0.680 H
0.576 0.424 0.820 H
0.924 0.924 0.320 H
0.424 0.576 0.820 H
0.076 0.076 0.680 H
0.713 0.287 0.000 Cl
0.289 0.711 0.500 Cl
0.711 0.289 0.500 Cl
0.211 0.211 0.000 Cl
0.789 0.789 0.000 Cl
0.213 0.213 0.500 Cl
0.287 0.713 0.000 Cl
0.787 0.787 0.500 Cl
0.500 0.000 0.750 Rb
0.000 0.500 0.250 Rb
0.500 0.000 0.250 Rb
0.000 0.500 0.750 Rb
0.500 0.500 0.500 Cu
0.000 0.000 0.000 Cu
0.000 0.000 0.755 O
0.500 0.500 0.745 O
0.000 0.000 0.245 O
0.500 0.500 0.255 O


ZnCu15H24Cl8O24, optimized geometry, DFT GGA-PBEsol; relative energy among the computed polymorphs = 0.0000 eV per atom; calculated volume = 10.23 A^3/atom; DOS(E_F) = 0.12 states/eV/atom; E = -4.8045 eV/atom
1.0
-7.293 -3.964 -3.761
5.457 -0.228 -7.313
3.348 -7.395 4.126
O Cl Cu H Zn
24 8 15 24 1
Direct
0.040 0.050 0.722 O
0.541 0.724 0.543 O
0.459 0.276 0.457 O
0.542 0.219 0.044 O
0.458 0.781 0.956 O
0.056 0.264 0.555 O
0.272 0.964 0.949 O
0.550 0.557 0.757 O
0.050 0.541 0.232 O
0.046 0.736 0.044 O
0.944 0.736 0.445 O
0.762 0.450 0.959 O
0.558 0.052 0.262 O
0.728 0.036 0.051 O
0.281 0.465 0.453 O
0.238 0.550 0.041 O
0.719 0.535 0.547 O
0.450 0.443 0.243 O
0.960 0.950 0.278 O
0.954 0.264 0.956 O
0.780 0.950 0.467 O
0.442 0.948 0.738 O
0.220 0.050 0.533 O
0.950 0.459 0.768 O
0.178 0.177 0.184 Cl
0.822 0.823 0.816 Cl
0.323 0.313 0.823 Cl
0.182 0.677 0.682 Cl
0.677 0.687 0.177 Cl
0.316 0.820 0.321 Cl
0.818 0.323 0.318 Cl
0.684 0.180 0.679 Cl
0.994 0.255 0.748 Cu
0.500 0.500 0.500 Cu
0.750 0.990 0.257 Cu
0.006 0.745 0.252 Cu
0.000 0.000 0.500 Cu
0.746 0.503 0.758 Cu
0.500 0.000 0.000 Cu
0.750 0.741 0.503 Cu
0.250 0.259 0.497 Cu
0.254 0.497 0.242 Cu
0.749 0.242 0.002 Cu
0.251 0.758 0.998 Cu
0.493 0.752 0.747 Cu
0.250 0.010 0.743 Cu
0.507 0.248 0.253 Cu
0.976 0.783 0.976 H
0.971 0.979 0.768 H
0.529 0.230 0.526 H
0.283 0.481 0.971 H
0.479 0.484 0.797 H
0.471 0.265 0.976 H
0.483 0.981 0.299 H
0.770 0.966 0.979 H
0.029 0.021 0.232 H
0.024 0.217 0.024 H
0.021 0.527 0.721 H
0.979 0.473 0.279 H
0.767 0.466 0.479 H
0.733 0.019 0.535 H
0.233 0.534 0.521 H
0.717 0.519 0.029 H
0.267 0.981 0.465 H
0.017 0.700 0.518 H
0.521 0.516 0.203 H
0.529 0.735 0.024 H
0.983 0.300 0.482 H
0.517 0.019 0.701 H
0.230 0.034 0.021 H
0.471 0.770 0.474 H
0.000 0.500 0.000 Zn